A:
Below is an optimized crystal structure of Ag2AsBr, with properties calculated at the PBEsol level.

Cell and atoms, written as CIF:
```
data_Ag2AsBr
_cell_length_a 5.9082
_cell_length_b 7.9547
_cell_length_c 3.3125
_cell_angle_alpha 90.00
_cell_angle_beta 90.00
_cell_angle_gamma 90.00
_space_group_name_H-M_alt 'C m m m'
_space_group_IT_number 65
_space_group_name_Hall '-C 2 2'
loop_
_atom_site_label
_atom_site_type_symbol
_atom_site_fract_x
_atom_site_fract_y
_atom_site_fract_z
Ag1 Ag 0.2500 0.2500 0.0000
As1 As 0.0000 0.0000 0.5000
Br1 Br 0.0000 0.5000 0.5000
```

Values from the calculation:
Volume: 78 Å³/f.u.
Theoretical density: 7.9 g/cm3



B:
Below is an optimized crystal structure of Ag2AsBr, with properties calculated at the PBEsol level.

Cell and atoms, written as CIF:
```
data_Ag2AsBr
_cell_length_a 4.3030
_cell_length_b 4.3030
_cell_length_c 8.4236
_cell_angle_alpha 90.00
_cell_angle_beta 90.00
_cell_angle_gamma 90.00
_space_group_name_H-M_alt 'I 4/m m m'
_space_group_IT_number 139
_space_group_name_Hall '-I 4 2'
loop_
_atom_site_label
_atom_site_type_symbol
_atom_site_fract_x
_atom_site_fract_y
_atom_site_fract_z
Ag1 Ag 0.0000 0.5000 0.2500
As1 As 0.0000 0.0000 0.0000
Br1 Br 0.0000 0.0000 0.5000
```

Values from the calculation:
Volume: 78 Å³/f.u.
Theoretical density: 7.9 g/cm3



Least stable: B



A:
Below is an optimized crystal structure of CdAg2As, with properties calculated at the PBEsol level.

Cell and atoms, written as CIF:
```
data_CdAg2As
_cell_length_a 6.6474
_cell_length_b 6.6474
_cell_length_c 6.6474
_cell_angle_alpha 90.00
_cell_angle_beta 90.00
_cell_angle_gamma 90.00
_space_group_name_H-M_alt 'F -4 3 m'
_space_group_IT_number 216
_space_group_name_Hall 'F -4 2 3'
loop_
_atom_site_label
_atom_site_type_symbol
_atom_site_fract_x
_atom_site_fract_y
_atom_site_fract_z
Cd1 Cd 0.0000 0.0000 0.0000
Ag1 Ag 0.0000 0.0000 0.5000
Ag2 Ag 0.2500 0.2500 0.7500
As1 As 0.2500 0.2500 0.2500
```

Values from the calculation:
Volume: 73 Å³/f.u.
Theoretical density: 9.1 g/cm3



B:
Below is an optimized crystal structure of CdAg2As, with properties calculated at the PBEsol level.

Cell and atoms, written as CIF:
```
data_CdAg2As
_cell_length_a 9.7677
_cell_length_b 2.9392
_cell_length_c 5.0799
_cell_angle_alpha 90.00
_cell_angle_beta 98.93
_cell_angle_gamma 90.00
_space_group_name_H-M_alt 'C 1 m 1'
_space_group_IT_number 8
_space_group_name_Hall 'C -2y'
loop_
_atom_site_label
_atom_site_type_symbol
_atom_site_fract_x
_atom_site_fract_y
_atom_site_fract_z
Cd1 Cd 0.0000 0.0000 0.0000
Ag1 Ag 0.0056 0.5000 0.5097
Ag2 Ag 0.2498 0.0000 0.7607
As1 As 0.2589 0.5000 0.2813
```

Values from the calculation:
Volume: 72 Å³/f.u.
Theoretical density: 9.3 g/cm3



C:
Below is an optimized crystal structure of CdAg2As, with properties calculated at the PBEsol level.

Cell and atoms, written as CIF:
```
data_CdAg2As
_cell_length_a 4.1205
_cell_length_b 4.1205
_cell_length_c 8.4628
_cell_angle_alpha 90.00
_cell_angle_beta 90.00
_cell_angle_gamma 90.00
_space_group_name_H-M_alt 'I 4/m m m'
_space_group_IT_number 139
_space_group_name_Hall '-I 4 2'
loop_
_atom_site_label
_atom_site_type_symbol
_atom_site_fract_x
_atom_site_fract_y
_atom_site_fract_z
Cd1 Cd 0.0000 0.0000 0.0000
Ag1 Ag 0.0000 0.5000 0.2500
As1 As 0.0000 0.0000 0.5000
```

Values from the calculation:
Volume: 72 Å³/f.u.
Theoretical density: 9.3 g/cm3



Least stable: A